(1)
A plane-wave DFT calculation with PBE was carried out for an optimized crystal structure of Ba2ErMg3Cd12.

a = 11.0079 Å, b = 11.0079 Å, c = 14.5020 Å
α = 90.00°, β = 90.00°, γ = 120.00°
Space group R-3m (No. 166, hexagonal axes)
Unique sites:
1 Ba 0.0000 0.0000 0.1981
2 Er 0.0000 0.0000 0.5000
3 Mg 0.0000 0.5000 0.0000
4 Cd 0.0169 0.5085 0.2062
5 Cd 0.0236 0.5118 0.6010

energy of formation: -0.03 eV/atom



(2)
A plane-wave DFT calculation with PBE was carried out for an optimized crystal structure of NaCrFeSe3.

a = 8.0632 Å, b = 3.7114 Å, c = 8.9926 Å
α = 90.00°, β = 107.07°, γ = 90.00°
Space group P2_1/m (No. 11)
Unique sites:
1 Na 0.2020 0.2500 0.2379
2 Cr 0.3343 0.7500 0.8527
3 Fe 0.0663 0.2500 0.5934
4 Se 0.1192 0.2500 0.8700
5 Se 0.2433 0.7500 0.5416
6 Se 0.4509 0.7500 0.1459

formation energy from raw total energies: -0.57 eV per atom